# LiYS2 meta-GGA SCAN single point on PBEsol structure
# E_form (uncorrected) = -2.122 eV/atom
data_LiYS2
_chemical_formula_sum 'Li2 Y2 S4'
_cell_length_a 6.6718
_cell_length_b 6.6718
_cell_length_c 6.6718
_cell_angle_alpha 132.46
_cell_angle_beta 132.46
_cell_angle_gamma 69.50
_symmetry_space_group_name_H-M 'P 1'
_symmetry_Int_Tables_number 1
loop_
_symmetry_equiv_pos_as_xyz
'x,y,z'
loop_
_atom_site_label
_atom_site_type_symbol
_atom_site_fract_x
_atom_site_fract_y
_atom_site_fract_z
Li1 Li 0.3750 0.6250 0.7500
Li2 Li 0.6250 0.3750 0.2500
Y1 Y 0.1250 0.8750 0.2500
Y2 Y 0.8750 0.1250 0.7500
S1 S 0.1210 0.3710 0.7500
S2 S 0.3710 0.1210 0.2500
S3 S 0.6290 0.8790 0.7500
S4 S 0.8790 0.6290 0.2500

=====

# Li2YS meta-GGA SCAN single point on PBEsol structure
# E_form (uncorrected) = -0.123 eV/atom
data_Li2YS
_chemical_formula_sum 'Li2 Y1 S1'
_cell_length_a 4.5678
_cell_length_b 4.5678
_cell_length_c 4.5678
_cell_angle_alpha 60.00
_cell_angle_beta 60.00
_cell_angle_gamma 60.00
_symmetry_space_group_name_H-M 'P 1'
_symmetry_Int_Tables_number 1
loop_
_symmetry_equiv_pos_as_xyz
'x,y,z'
loop_
_atom_site_label
_atom_site_type_symbol
_atom_site_fract_x
_atom_site_fract_y
_atom_site_fract_z
Li1 Li 0.2500 0.2500 0.2500
Li2 Li 0.7500 0.7500 0.7500
Y1 Y 0.0000 0.0000 0.0000
S1 S 0.5000 0.5000 0.5000

=====

# Li2Y2S meta-GGA SCAN single point on PBEsol structure
# E_form (uncorrected) = -0.390 eV/atom
data_Li2Y2S
_chemical_formula_sum 'Li4 Y4 S2'
_cell_length_a 6.5160
_cell_length_b 6.5160
_cell_length_c 4.7319
_cell_angle_alpha 90.00
_cell_angle_beta 90.00
_cell_angle_gamma 90.00
_symmetry_space_group_name_H-M 'P 1'
_symmetry_Int_Tables_number 1
loop_
_symmetry_equiv_pos_as_xyz
'x,y,z'
loop_
_atom_site_label
_atom_site_type_symbol
_atom_site_fract_x
_atom_site_fract_y
_atom_site_fract_z
Li1 Li 0.1476 0.3524 0.0000
Li2 Li 0.3524 0.8524 0.0000
Li3 Li 0.6476 0.1476 0.0000
Li4 Li 0.8524 0.6476 0.0000
Y1 Y 0.1663 0.6663 0.5000
Y2 Y 0.3337 0.1663 0.5000
Y3 Y 0.6663 0.8337 0.5000
Y4 Y 0.8337 0.3337 0.5000
S1 S 0.0000 0.0000 0.0000
S2 S 0.5000 0.5000 0.0000

=====

# LiYS2 meta-GGA SCAN single point on PBEsol structure
# E_form (uncorrected) = -2.127 eV/atom
data_LiYS2
_chemical_formula_sum 'Li1 Y1 S2'
_cell_length_a 6.4651
_cell_length_b 6.4651
_cell_length_c 6.4651
_cell_angle_alpha 34.76
_cell_angle_beta 34.76
_cell_angle_gamma 34.76
_symmetry_space_group_name_H-M 'P 1'
_symmetry_Int_Tables_number 1
loop_
_symmetry_equiv_pos_as_xyz
'x,y,z'
loop_
_atom_site_label
_atom_site_type_symbol
_atom_site_fract_x
_atom_site_fract_y
_atom_site_fract_z
Li1 Li 0.0000 0.0000 0.0000
Y1 Y 0.5000 0.5000 0.5000
S1 S 0.2510 0.2510 0.2510
S2 S 0.7490 0.7490 0.7490

=====

# Li7Y7ZrS16 meta-GGA SCAN single point on PBEsol structure
# E_form (uncorrected) = -2.089 eV/atom
data_Li7Y7ZrS16
_chemical_formula_sum 'Li7 Y7 Zr1 S16'
_cell_length_a 6.4468
_cell_length_b 15.3483
_cell_length_c 6.6638
_cell_angle_alpha 90.00
_cell_angle_beta 109.96
_cell_angle_gamma 90.00
_symmetry_space_group_name_H-M 'P 1'
_symmetry_Int_Tables_number 1
loop_
_symmetry_equiv_pos_as_xyz
'x,y,z'
loop_
_atom_site_label
_atom_site_type_symbol
_atom_site_fract_x
_atom_site_fract_y
_atom_site_fract_z
Li1 Li 0.0000 0.0000 0.0000
Li2 Li 0.0000 0.1257 0.5000
Li3 Li 0.0000 0.2505 0.0000
Li4 Li 0.0000 0.3775 0.5000
Li5 Li 0.0000 0.6225 0.5000
Li6 Li 0.0000 0.7495 0.0000
Li7 Li 0.0000 0.8743 0.5000
Y1 Y 0.5000 0.0000 0.5000
Y2 Y 0.5000 0.1259 0.0000
Y3 Y 0.5000 0.2524 0.5000
Y4 Y 0.5000 0.3776 0.0000
Y5 Y 0.5000 0.6224 0.0000
Y6 Y 0.5000 0.7476 0.5000
Y7 Y 0.5000 0.8741 0.0000
Zr1 Zr 0.5000 0.5000 0.5000
S1 S 0.2452 0.2518 0.7513
S2 S 0.2452 0.7482 0.7513
S3 S 0.2463 0.1260 0.2496
S4 S 0.2463 0.8740 0.2496
S5 S 0.2468 0.0000 0.7497
S6 S 0.2565 0.3809 0.2600
S7 S 0.2564 0.5000 0.7323
S8 S 0.2565 0.6191 0.2600
S9 S 0.7435 0.3809 0.7400
S10 S 0.7436 0.5000 0.2677
S11 S 0.7435 0.6191 0.7400
S12 S 0.7532 0.0000 0.2503
S13 S 0.7537 0.1260 0.7504
S14 S 0.7537 0.8740 0.7504
S15 S 0.7548 0.2518 0.2487
S16 S 0.7548 0.7482 0.2487

=====

# LiZnS2 meta-GGA SCAN single point on PBEsol structure
# E_form (uncorrected) = -0.518 eV/atom
data_LiZnS2
_chemical_formula_sum 'Li1 Zn1 S2'
_cell_length_a 7.5730
_cell_length_b 7.5730
_cell_length_c 7.5730
_cell_angle_alpha 26.58
_cell_angle_beta 26.58
_cell_angle_gamma 26.58
_symmetry_space_group_name_H-M 'P 1'
_symmetry_Int_Tables_number 1
loop_
_symmetry_equiv_pos_as_xyz
'x,y,z'
loop_
_atom_site_label
_atom_site_type_symbol
_atom_site_fract_x
_atom_site_fract_y
_atom_site_fract_z
Li1 Li 0.0000 0.0000 0.0000
Zn1 Zn 0.5000 0.5000 0.5000
S1 S 0.1029 0.1029 0.1029
S2 S 0.8971 0.8971 0.8971

=====

# LiZr2S4 meta-GGA SCAN single point on PBEsol structure
# E_form (uncorrected) = -1.780 eV/atom
data_LiZr2S4
_chemical_formula_sum 'Li1 Zr2 S4'
_cell_length_a 6.1910
_cell_length_b 3.5841
_cell_length_c 6.4680
_cell_angle_alpha 90.00
_cell_angle_beta 108.33
_cell_angle_gamma 90.00
_symmetry_space_group_name_H-M 'P 1'
_symmetry_Int_Tables_number 1
loop_
_symmetry_equiv_pos_as_xyz
'x,y,z'
loop_
_atom_site_label
_atom_site_type_symbol
_atom_site_fract_x
_atom_site_fract_y
_atom_site_fract_z
Li1 Li 0.0000 0.0000 0.0000
Zr1 Zr 0.0000 0.5000 0.5000
Zr2 Zr 0.5000 0.0000 0.5000
S1 S 0.2487 0.0000 0.7457
S2 S 0.2525 0.5000 0.2502
S3 S 0.7475 0.5000 0.7498
S4 S 0.7513 0.0000 0.2543

=====

# Li2Sb meta-GGA SCAN single point on PBEsol structure
# Energy above the lowest structure with this stoichiometry = 27.4 meV per atom
# E_form (uncorrected) = -0.596 eV/atom
data_Li2Sb
_chemical_formula_sum 'Li4 Sb2'
_cell_length_a 4.8663
_cell_length_b 4.8663
_cell_length_c 7.8348
_cell_angle_alpha 90.00
_cell_angle_beta 90.00
_cell_angle_gamma 141.69
_symmetry_space_group_name_H-M 'P 1'
_symmetry_Int_Tables_number 1
loop_
_symmetry_equiv_pos_as_xyz
'x,y,z'
loop_
_atom_site_label
_atom_site_type_symbol
_atom_site_fract_x
_atom_site_fract_y
_atom_site_fract_z
Li1 Li 0.0902 0.9098 0.5000
Li2 Li 0.3556 0.6444 0.6781
Li3 Li 0.6444 0.3556 0.1781
Li4 Li 0.9098 0.0902 0.0000
Sb1 Sb 0.3681 0.6319 0.3202
Sb2 Sb 0.6319 0.3681 0.8202